Record 1
Here is crystalline Pm2Zn5CdRh2 at its relaxed geometry from Alexandria. Energies are from PBE-GGA.

Properties
E_form ... -376 meV per atom

Unit cell a=9.632 b=9.632 c=4.137 alpha=90.00 beta=90.00 gamma=90.00
Space group P4/mbm (No. 127)
One atom of each set of equivalent atoms:
Pm (0.180, 0.320, 0.000) x4
Zn (0.000, 0.500, 0.500) x2
Zn (0.059, 0.788, 0.500) x8
Cd (0.000, 0.000, 0.000) x2
Rh (0.116, 0.616, 0.000) x4

---

Record 2
Here is crystalline TmSc2PtC at its relaxed geometry from Alexandria. Energies are from PBE-GGA.

Properties
E_form ... -695 meV per atom

Unit cell a=4.385 b=4.385 c=4.854 alpha=90.00 beta=90.00 gamma=90.00
Space group P4mm (No. 99)
One atom of each set of equivalent atoms:
Tm (0.000, 0.000, 0.000) x1
Sc (0.000, 0.500, 0.500) x2
Pt (0.500, 0.500, 0.002) x1
C (0.000, 0.000, 0.501) x1

---

Record 3
Here is crystalline Cs6BrCl2 at its relaxed geometry from Alexandria. Energies are from PBE-GGA.

Properties
Formation energy from raw total energies ... -1.203 eV per atom

Unit cell a=18.631 b=5.505 c=13.535 alpha=90.00 beta=105.79 gamma=90.00
Space group C2/m (No. 12)
One atom of each set of equivalent atoms:
Cs (0.112, 0.000, 0.305) x4
Cs (0.119, 0.500, 0.637) x4
Cs (0.147, 0.500, 0.016) x4
Br (0.000, 0.000, 0.500) x2
Cl (0.236, 0.000, 0.147) x4

---

Record 4
Here is crystalline GeIrIN2 at its relaxed geometry from Alexandria. Energies are from PBE-GGA.

Properties
Formation energy from raw total energies ... 1.058 eV per atom
E above lowest polymorph ... 0.000 eV/atom

Unit cell a=3.843 b=3.843 c=8.041 alpha=90.00 beta=90.00 gamma=90.00
Space group P4/mmm (No. 123)
One atom of each set of equivalent atoms:
Ge (0.000, 0.000, 0.000) x1
Ir (0.500, 0.500, 0.500) x1
I (0.500, 0.500, 0.000) x1
N (0.000, 0.500, 0.500) x2

---

Record 5
Here is crystalline ZnTcRh2 at its relaxed geometry from Alexandria. Energies are from PBE-GGA.

Properties
E_form ... 9 meV per atom

Unit cell a=2.882 b=4.437 c=8.887 alpha=90.00 beta=90.00 gamma=90.00
Space group Imm2 (No. 44)
One atom of each set of equivalent atoms:
Zn (0.000, 0.000, 0.000) x2
Tc (0.000, 0.500, 0.258) x2
Rh (0.000, 0.000, 0.504) x2
Rh (0.000, 0.500, 0.732) x2

---

Record 6
Here is crystalline BaNdSnHg at its relaxed geometry from Alexandria. Energies are from PBE-GGA.

Properties
E_form ... -497 meV per atom

Unit cell a=8.083 b=8.083 c=8.083 alpha=90.00 beta=90.00 gamma=90.00
Space group F-43m (No. 216)
One atom of each set of equivalent atoms:
Ba (0.000, 0.000, 0.000) x4
Nd (0.000, 0.000, 0.500) x4
Sn (0.250, 0.250, 0.750) x4
Hg (0.250, 0.250, 0.250) x4

---

Record 7
Here is crystalline LiFeAs at its relaxed geometry from Alexandria. Energies are from PBE-GGA.

Properties
E_form ... 84 meV per atom

Unit cell a=4.3792 b=4.3792 c=5.1430 alpha=90.00 beta=90.00 gamma=120.00
Space group P6_3/mmc (No. 194)
One atom of each set of equivalent atoms:
Li (0.3333, 0.6667, 0.2500) x2
Fe (0.0000, 0.0000, 0.2500) x2
As (0.3333, 0.6667, 0.7500) x2

---

Record 8
Here is crystalline CsPaO3 at its relaxed geometry from Alexandria. Energies are from PBE-GGA.

Properties
Formation energy from raw total energies ... -3.059 eV per atom

Unit cell a=4.456 b=4.456 c=4.456 alpha=90.00 beta=90.00 gamma=90.00
Space group Pm-3m (No. 221)
One atom of each set of equivalent atoms:
Cs (0.000, 0.000, 0.000) x1
Pa (0.500, 0.500, 0.500) x1
O (0.000, 0.500, 0.500) x3

---

Record 9
Here is crystalline Sr2MnTlSe5 at its relaxed geometry from Alexandria. Energies are from PBE-GGA.

Properties
Formation energy from raw total energies ... -1.014 eV per atom

Unit cell a=4.084 b=18.936 c=13.098 alpha=90.00 beta=90.00 gamma=90.00
Space group Cmc2_1 (No. 36)
One atom of each set of equivalent atoms:
Sr (0.000, 0.100, 0.000) x4
Sr (0.000, 0.131, 0.652) x4
Mn (0.000, 0.237, 0.388) x4
Tl (0.000, 0.433, 0.795) x4
Se (0.000, 0.058, 0.425) x4
Se (0.000, 0.266, 0.018) x4
Se (0.000, 0.287, 0.768) x4
Se (0.000, 0.368, 0.335) x4
Se (0.000, 0.497, 0.618) x4

---

Record 10
Here is crystalline Dy5Bi5Pb at its relaxed geometry from Alexandria. Energies are from PBE-GGA.

Properties
E_form ... -520 meV per atom

Unit cell a=14.041 b=6.244 c=8.858 alpha=90.00 beta=108.48 gamma=90.00
Space group C2/m (No. 12)
One atom of each set of equivalent atoms:
Dy (0.000, 0.000, 0.000) x2
Dy (0.169, 0.500, 0.335) x4
Dy (0.173, 0.500, 0.836) x4
Bi (0.000, 0.500, 0.500) x2
Bi (0.156, 0.000, 0.814) x4
Bi (0.158, 0.000, 0.341) x4
Pb (0.000, 0.500, 0.000) x2

---

Record 11
Here is crystalline Ca5Pr at its relaxed geometry from Alexandria. Energies are from PBE-GGA.

Properties
E_form ... 36 meV per atom
E above lowest polymorph ... 0.004 eV/atom

Unit cell a=3.823 b=3.823 c=16.680 alpha=90.00 beta=90.00 gamma=90.00
Space group P4/mmm (No. 123)
One atom of each set of equivalent atoms:
Ca (0.000, 0.000, 0.000) x1
Ca (0.000, 0.000, 0.340) x2
Ca (0.500, 0.500, 0.169) x2
Pr (0.500, 0.500, 0.500) x1

---

Record 12
Here is crystalline LiNdSm at its relaxed geometry from Alexandria. Energies are from PBE-GGA.

Properties
E_form ... 47 meV per atom
E above lowest polymorph ... 0.002 eV/atom

Unit cell a=3.688 b=3.688 c=13.164 alpha=90.00 beta=90.00 gamma=90.00
Space group P4/nmm (No. 129, origin choice 2)
One atom of each set of equivalent atoms:
Li (0.250, 0.250, 0.050) x2
Nd (0.250, 0.250, 0.400) x2
Sm (0.250, 0.250, 0.788) x2

---

Record 13
Here is crystalline CrTe3Ru at its relaxed geometry from Alexandria. Energies are from PBE-GGA.

Properties
Formation energy from raw total energies ... 1.094 eV per atom
E above lowest polymorph ... 0.000 eV/atom

Unit cell a=4.937 b=4.937 c=4.937 alpha=90.00 beta=90.00 gamma=90.00
Space group Pm-3m (No. 221)
One atom of each set of equivalent atoms:
Cr (0.000, 0.000, 0.000) x1
Te (0.000, 0.000, 0.500) x3
Ru (0.500, 0.500, 0.500) x1

---

Record 14
Here is crystalline Al2TcBr at its relaxed geometry from Alexandria. Energies are from PBE-GGA.

Properties
Formation energy from raw total energies ... 0.368 eV per atom
E above lowest polymorph ... 0.593 eV/atom

Unit cell a=2.957 b=5.334 c=9.717 alpha=90.00 beta=90.00 gamma=90.00
Space group Cmm2 (No. 35)
One atom of each set of equivalent atoms:
Al (0.000, 0.000, 0.000) x2
Al (0.000, 0.500, 0.244) x2
Tc (0.000, 0.000, 0.461) x2
Br (0.000, 0.500, 0.670) x2

---

Record 15
Here is crystalline BaTa2F at its relaxed geometry from Alexandria. Energies are from PBE-GGA.

Properties
Formation energy from raw total energies ... 0.544 eV per atom
E above lowest polymorph ... 0.000 eV/atom

Unit cell a=6.157 b=6.157 c=10.971 alpha=90.00 beta=90.00 gamma=90.00
Space group I4_1/amd (No. 141, origin choice 2)
One atom of each set of equivalent atoms:
Ba (0.000, 0.250, 0.375) x4
Ta (0.000, 0.000, 0.000) x8
F (0.000, 0.250, 0.875) x4

---

Record 16
Here is crystalline La12SnPb4C3 at its relaxed geometry from Alexandria. Energies are from PBE-GGA.

Properties
E_form ... -347 meV per atom

Unit cell a=10.830 b=10.830 c=10.830 alpha=90.00 beta=90.00 gamma=90.00
Space group Im-3m (No. 229)
One atom of each set of equivalent atoms:
La (0.000, 0.000, 0.275) x12
La (0.000, 0.250, 0.500) x12
Sn (0.000, 0.000, 0.000) x2
Pb (0.250, 0.250, 0.250) x8
C (0.000, 0.000, 0.500) x6

---

Record 17
Here is crystalline La6ZnNi2I3 at its relaxed geometry from Alexandria. Energies are from PBE-GGA.

Properties
Formation energy from raw total energies ... -0.671 eV per atom

Unit cell a=7.490 b=12.780 c=8.441 alpha=90.00 beta=107.08 gamma=90.00
Space group C2/m (No. 12)
One atom of each set of equivalent atoms:
La (0.205, 0.000, 0.190) x4
La (0.244, 0.321, 0.198) x8
Zn (0.000, 0.500, 0.000) x2
Ni (0.000, 0.169, 0.000) x4
I (0.000, 0.000, 0.500) x2
I (0.000, 0.341, 0.500) x4

---

Record 18
Here is crystalline KBi6Pb12 at its relaxed geometry from Alexandria. Energies are from PBE-GGA.

Properties
E_form ... 46 meV per atom

Unit cell a=14.7389 b=14.7389 c=11.0572 alpha=90.00 beta=90.00 gamma=120.00
Space group R-3m (No. 166, hexagonal axes)
One atom of each set of equivalent atoms:
K (0.0000, 0.0000, 0.0000) x3
Bi (0.0420, 0.5210, 0.2383) x18
Pb (0.0000, 0.3882, 0.5000) x18
Pb (0.0804, 0.1609, 0.3142) x18

---

Record 19
Here is crystalline Cu3NiPt6 at its relaxed geometry from Alexandria. Energies are from PBE-GGA.

Properties
E_form ... -79 meV per atom
E above lowest polymorph ... 0.000 eV/atom

Unit cell a=7.194 b=4.478 c=9.431 alpha=90.00 beta=110.34 gamma=90.00
Space group P2_1/m (No. 11)
One atom of each set of equivalent atoms:
Cu (0.104, 0.250, 0.231) x2
Cu (0.296, 0.250, 0.032) x2
Cu (0.307, 0.750, 0.368) x2
Ni (0.104, 0.750, 0.570) x2
Pt (0.082, 0.250, 0.721) x2
Pt (0.102, 0.750, 0.070) x2
Pt (0.282, 0.250, 0.524) x2
Pt (0.293, 0.750, 0.863) x2
Pt (0.497, 0.250, 0.833) x2
Pt (0.498, 0.750, 0.664) x2

---

Record 20
Here is crystalline TlP2Au2 at its relaxed geometry from Alexandria. Energies are from PBE-GGA.

Properties
E_form ... 127 meV per atom

Unit cell a=4.554 b=4.554 c=9.935 alpha=90.00 beta=90.00 gamma=90.00
Space group I4/mmm (No. 139)
One atom of each set of equivalent atoms:
Tl (0.000, 0.000, 0.000) x2
P (0.000, 0.000, 0.389) x4
Au (0.000, 0.500, 0.250) x4

---

Record 21
Here is crystalline ThGa5Ir2Pd at its relaxed geometry from Alexandria. Energies are from PBE-GGA.

Properties
E_form ... -224 meV per atom

Unit cell a=4.796 b=4.796 c=7.740 alpha=90.00 beta=90.00 gamma=90.00
Space group P4/mmm (No. 123)
One atom of each set of equivalent atoms:
Th (0.000, 0.000, 0.000) x1
Ga (0.000, 0.500, 0.320) x4
Ga (0.500, 0.500, 0.000) x1
Ir (0.500, 0.500, 0.295) x2
Pd (0.000, 0.000, 0.500) x1

---

Record 22
Here is crystalline Ac2Al4Ga3Ir at its relaxed geometry from Alexandria. Energies are from PBE-GGA.

Properties
E_form ... -531 meV per atom

Unit cell a=4.419 b=4.419 c=10.888 alpha=90.00 beta=90.00 gamma=90.00
Space group P-4m2 (No. 115)
One atom of each set of equivalent atoms:
Ac (0.000, 0.500, 0.243) x2
Al (0.000, 0.000, 0.500) x1
Al (0.000, 0.500, 0.882) x2
Al (0.500, 0.500, 0.500) x1
Ga (0.000, 0.000, 0.000) x1
Ga (0.000, 0.500, 0.638) x2
Ir (0.500, 0.500, 0.000) x1